MoAsOs2 | PBE | optimized geometry

ΔE_f: 0.175 eV per atom
SG: Amm2 (38)

abc: 3.9980 2.8335 5.4510
angles: 74.96 90.00 90.00
With the nearest neighbours (Å) after each atom.
Atoms (fractional coordinates):
Mo  0.5000  0.6975  0.7307  4 As 2.68, 7 Os 2.71-2.92, 2 Mo 2.83
Os  0.0000  0.0629  0.9988  1 As 2.49, 4 Os 2.77
Os  0.5000  0.4389  0.2454  2 As 2.48, 1 Mo 2.71, 4 Os 2.77
As  0.0000  0.3007  0.5250  3 Os 2.48-2.49, 4 Mo 2.68

PmHfPb | PBE | optimized geometry

ΔE_f: 0.085 eV per atom
SG: P3m1 (156)
Polymorph energy (0 for the lowest one): 0.35 eV/f.u.

abc: 3.6174 5.1698 5.1698
angles: 120.00 90.00 90.00
With the nearest neighbours (Å) after each atom.
Atoms (fractional coordinates):
Pb  0.8351  0.6667  0.3333  3 Hf 2.98
Hf  0.8323  0.0000  0.0000  3 Pb 2.98
Pm  0.3326  0.3333  0.6667  6 Pb 3.49, 6 Hf 3.49, 2 Pm 3.62

YFeSe2 | PBE | optimized geometry

SG: P4mm (99)
Raw formation energy: -0.89 eV/atom

abc: 3.8629 3.8629 5.8430
angles: 90.00 90.00 90.00
With the nearest neighbours (Å) after each atom.
Atoms (fractional coordinates):
Fe  0.5000  0.5000  0.7950  5 Se 2.59-2.82
Se  0.0000  0.0000  0.9115  1 Y 2.75, 4 Fe 2.82
Se  0.5000  0.5000  0.3521  1 Fe 2.59, 4 Y 2.78
Y  0.0000  0.0000  0.4414  5 Se 2.75-2.78

Na2RhPbO4 | PBE | optimized geometry

SG: I-4m2 (119)
Raw formation energy: -1.02 eV/atom

abc: 5.3480 5.3480 5.3480
angles: 104.29 112.12 112.12
With the nearest neighbours (Å) after each atom.
Atoms (fractional coordinates):
Na  0.5000  0.7500  0.2500  8 O 2.68
Na  0.0000  0.0000  0.0000  4 O 2.29
Rh  0.0000  0.5000  0.5000  4 O 1.93
Pb  0.5000  0.2500  0.7500  8 O 2.68
O  0.5435  0.2720  0.2726  1 Rh 1.93
O  0.0006  0.2715  0.7280  1 Rh 1.93
O  0.9994  0.7274  0.2709  1 Rh 1.93
O  0.4565  0.7291  0.7285  1 Rh 1.93

Pm2PrErTe5 | PBE | optimized geometry

SG: P4/mmm (123)
Raw formation energy: -0.83 eV/atom

abc: 5.4972 5.4972 11.8449
angles: 90.00 90.00 90.00
With the nearest neighbours (Å) after each atom.
Atoms (fractional coordinates):
Pm  0.5000  0.5000  0.3454  4 Te 3.30, 1 Pm 3.66
Pm  0.5000  0.5000  0.6546  4 Te 3.30, 1 Pm 3.66
Pr  0.0000  0.0000  0.0000  2 Te 2.98
Er  0.0000  0.0000  0.5000  6 Te 2.75-2.94
Te  0.0000  0.5000  0.5000  2 Er 2.75
Te  0.5000  0.0000  0.5000  2 Er 2.75
Te  0.0000  0.0000  0.7482  1 Er 2.94, 1 Pr 2.98
Te  0.0000  0.0000  0.2518  1 Er 2.94, 1 Pr 2.98
Te  0.5000  0.5000  0.0000  4 Pr 3.89, 2 Pm 4.09

Ba2Li2Ag15 | PBE | optimized geometry

ΔE_f: -0.138 eV per atom
SG: R-3m (166)

abc: 7.4622 7.4622 7.4622
angles: 82.31 82.31 82.31
With the nearest neighbours (Å) after each atom.
Atoms (fractional coordinates):
Ba  0.3424  0.3424  0.3424  18 Ag 3.49-3.82, 1 Li 3.64
Ba  0.6576  0.6576  0.6576  18 Ag 3.49-3.82, 1 Li 3.64
Li  0.0922  0.0922  0.0922  1 Li 2.68
Li  0.9078  0.9078  0.9078  1 Li 2.68
Ag  0.5000  0.0000  0.0000  8 Ag 2.83-2.84, 2 Li 3.04
Ag  0.0000  0.0000  0.5000  8 Ag 2.83-2.84, 2 Li 3.04
Ag  0.0000  0.5000  0.0000  8 Ag 2.83-2.84, 2 Li 3.04
Ag  0.0000  0.7068  0.2932  8 Ag 2.84-3.04, 2 Li 3.18
Ag  0.7068  0.2932  0.0000  8 Ag 2.84-3.04, 2 Li 3.18
Ag  0.2932  0.0000  0.7068  8 Ag 2.84-3.04, 2 Li 3.18
Ag  0.2932  0.7068  0.0000  8 Ag 2.84-3.04, 2 Li 3.18
Ag  0.7068  0.0000  0.2932  8 Ag 2.84-3.04, 2 Li 3.18
Ag  0.0000  0.2932  0.7068  8 Ag 2.84-3.04, 2 Li 3.18
Ag  0.1531  0.6573  0.6573  8 Ag 2.83-3.04, 1 Li 3.07
Ag  0.6573  0.6573  0.1531  8 Ag 2.83-3.04, 1 Li 3.07
Ag  0.6573  0.1531  0.6573  8 Ag 2.83-3.04, 1 Li 3.07
Ag  0.8469  0.3427  0.3427  8 Ag 2.83-3.04, 1 Li 3.07
Ag  0.3427  0.3427  0.8469  8 Ag 2.83-3.04, 1 Li 3.07
Ag  0.3427  0.8469  0.3427  8 Ag 2.83-3.04, 1 Li 3.07

Tb6Dy2HoSc | PBE | optimized geometry

ΔE_f: 0.126 eV per atom
SG: C2/c (15)

abc: 9.4256 8.6957 8.6957
angles: 117.41 93.91 93.91
With the nearest neighbours (Å) after each atom.
Atoms (fractional coordinates):
Tb  0.0546  0.1252  0.7546  7 Tb 3.40-3.70, 1 Dy 3.46, 1 Ho 3.60
Tb  0.4454  0.2454  0.8748  7 Tb 3.40-3.70, 1 Dy 3.46, 1 Ho 3.60
Tb  0.9454  0.8748  0.2454  7 Tb 3.40-3.70, 1 Dy 3.46, 1 Ho 3.60
Tb  0.5546  0.7546  0.1252  7 Tb 3.40-3.70, 1 Dy 3.46, 1 Ho 3.60
Tb  0.3096  0.9943  0.4347  3 Tb 3.23-3.57, 1 Dy 3.35, 1 Sc 3.36, 1 Ho 3.53
Tb  0.1904  0.5653  0.0057  3 Tb 3.23-3.57, 1 Dy 3.35, 1 Sc 3.36, 1 Ho 3.53
Tb  0.6904  0.0057  0.5653  3 Tb 3.23-3.57, 1 Dy 3.35, 1 Sc 3.36, 1 Ho 3.53
Tb  0.8096  0.4347  0.9943  3 Tb 3.23-3.57, 1 Dy 3.35, 1 Sc 3.36, 1 Ho 3.53
Tb  0.1168  0.7080  0.4940  3 Dy 3.19-3.38, 4 Tb 3.23-3.48, 2 Sc 3.31-3.47
Tb  0.3832  0.5060  0.2920  3 Dy 3.19-3.38, 4 Tb 3.23-3.48, 2 Sc 3.31-3.47
Tb  0.8832  0.2920  0.5060  3 Dy 3.19-3.38, 4 Tb 3.23-3.48, 2 Sc 3.31-3.47
Tb  0.6168  0.4940  0.7080  3 Dy 3.19-3.38, 4 Tb 3.23-3.48, 2 Sc 3.31-3.47
Dy  0.4538  0.7989  0.6968  5 Tb 3.19-3.46, 2 Ho 3.35-3.39, 1 Sc 3.43
Dy  0.0462  0.3032  0.2011  5 Tb 3.19-3.46, 2 Ho 3.35-3.39, 1 Sc 3.43
Dy  0.5462  0.2011  0.3032  5 Tb 3.19-3.46, 2 Ho 3.35-3.39, 1 Sc 3.43
Dy  0.9538  0.6968  0.7989  5 Tb 3.19-3.46, 2 Ho 3.35-3.39, 1 Sc 3.43
Ho  0.2500  0.9778  0.0222  4 Dy 3.35-3.39, 4 Tb 3.53-3.60
Ho  0.7500  0.0222  0.9778  4 Dy 3.35-3.39, 4 Tb 3.53-3.60
Sc  0.2500  0.4137  0.5863  6 Tb 3.31-3.47, 2 Dy 3.43
Sc  0.7500  0.5863  0.4137  6 Tb 3.31-3.47, 2 Dy 3.43

Ca2Mg5AlZn2 | PBE | optimized geometry

ΔE_f: -0.106 eV per atom
SG: P4/mbm (127)

abc: 4.2815 10.4783 10.4783
angles: 90.00 90.00 90.00
With the nearest neighbours (Å) after each atom.
Atoms (fractional coordinates):
Ca  0.0000  0.6793  0.1793  3 Zn 3.03-3.17
Ca  0.0000  0.3207  0.8207  3 Zn 3.03-3.17
Ca  0.0000  0.1793  0.3207  3 Zn 3.03-3.17
Ca  0.0000  0.8207  0.6793  3 Zn 3.03-3.17
Mg  0.5000  0.2030  0.0614  2 Zn 2.92, 2 Al 3.09, 3 Mg 3.14-3.18
Mg  0.5000  0.7970  0.9386  2 Zn 2.92, 2 Al 3.09, 3 Mg 3.14-3.18
Mg  0.5000  0.0614  0.7970  2 Zn 2.92, 2 Al 3.09, 3 Mg 3.14-3.18
Mg  0.5000  0.7030  0.4386  2 Zn 2.92, 2 Al 3.09, 3 Mg 3.14-3.18
Mg  0.5000  0.9386  0.2030  2 Zn 2.92, 2 Al 3.09, 3 Mg 3.14-3.18
Mg  0.5000  0.2970  0.5614  2 Zn 2.92, 2 Al 3.09, 3 Mg 3.14-3.18
Mg  0.5000  0.5614  0.7030  2 Zn 2.92, 2 Al 3.09, 3 Mg 3.14-3.18
Mg  0.5000  0.4386  0.2970  2 Zn 2.92, 2 Al 3.09, 3 Mg 3.14-3.18
Mg  0.5000  0.5000  0.0000  4 Zn 2.75
Mg  0.5000  0.0000  0.5000  4 Zn 2.75
Al  0.0000  0.0000  0.0000  8 Mg 3.09
Al  0.0000  0.5000  0.5000  8 Mg 3.09
Zn  0.0000  0.1161  0.6161  6 Mg 2.75-2.92, 1 Ca 3.03
Zn  0.0000  0.8839  0.3839  6 Mg 2.75-2.92, 1 Ca 3.03
Zn  0.0000  0.6161  0.8839  6 Mg 2.75-2.92, 1 Ca 3.03
Zn  0.0000  0.3839  0.1161  6 Mg 2.75-2.92, 1 Ca 3.03

Mn2Br3 | PBE | optimized geometry

SG: P-3m1 (164)
Polymorph energy (0 for the lowest one): 0.09 eV/f.u.
Raw formation energy: -0.41 eV/atom

abc: 3.9267 3.9267 9.9944
angles: 90.00 90.00 120.00
With the nearest neighbours (Å) after each atom.
Atoms (fractional coordinates):
Mn  0.6667  0.3333  0.1694  6 Br 2.64-2.83
Mn  0.3333  0.6667  0.8306  6 Br 2.64-2.83
Br  0.0000  0.0000  0.0000  6 Mn 2.83
Br  0.6667  0.3333  0.6950  3 Mn 2.64
Br  0.3333  0.6667  0.3050  3 Mn 2.64

RbIrOs2 | PBE | optimized geometry

ΔE_f: 2.056 eV per atom
SG: Fm-3m (225)
Polymorph energy (0 for the lowest one): 0.98 eV/f.u.

abc: 4.6037 4.6037 4.6037
angles: 60.00 60.00 60.00
With the nearest neighbours (Å) after each atom.
Atoms (fractional coordinates):
Ir  0.5000  0.5000  0.5000  8 Os 2.82
Os  0.2500  0.2500  0.2500  4 Rb 2.82, 4 Ir 2.82
Os  0.7500  0.7500  0.7500  4 Ir 2.82, 4 Rb 2.82
Rb  0.0000  0.0000  0.0000  8 Os 2.82

CaReNO2 | PBE | optimized geometry

SG: P4/mmm (123)
Raw formation energy: 1.12 eV/atom

abc: 4.2213 4.3826 4.2213
angles: 90.00 90.00 90.00
With the nearest neighbours (Å) after each atom.
Atoms (fractional coordinates):
Re  0.5000  0.5000  0.5000  4 N 2.98, 8 O 3.04
Ca  0.0000  0.0000  0.0000  4 O 2.11, 2 N 2.19
O  0.0000  0.0000  0.5000  2 Ca 2.11
O  0.5000  0.0000  0.0000  2 Ca 2.11
N  0.0000  0.5000  0.0000  2 Ca 2.19

ReGe | PBE | optimized geometry

ΔE_f: 0.248 eV per atom
SG: I4/m (87)

abc: 9.8739 9.8739 3.0297
angles: 90.00 90.00 90.00
With the nearest neighbours (Å) after each atom.
Atoms (fractional coordinates):
Re  0.3527  0.9400  0.0000  2 Ge 2.49-2.50, 4 Re 2.69
Re  0.6473  0.0600  0.0000  2 Ge 2.49-2.50, 4 Re 2.69
Re  0.0600  0.3527  0.0000  2 Ge 2.49-2.50, 4 Re 2.69
Re  0.9400  0.6473  0.0000  2 Ge 2.49-2.50, 4 Re 2.69
Re  0.8527  0.4400  0.5000  2 Ge 2.49-2.50, 4 Re 2.69
Re  0.1473  0.5600  0.5000  2 Ge 2.49-2.50, 4 Re 2.69
Re  0.5600  0.8527  0.5000  2 Ge 2.49-2.50, 4 Re 2.69
Re  0.4400  0.1473  0.5000  2 Ge 2.49-2.50, 4 Re 2.69
Ge  0.2010  0.1420  0.0000  2 Re 2.49-2.50, 2 Ge 2.79
Ge  0.7990  0.8580  0.0000  2 Re 2.49-2.50, 2 Ge 2.79
Ge  0.8580  0.2010  0.0000  2 Re 2.49-2.50, 2 Ge 2.79
Ge  0.1420  0.7990  0.0000  2 Re 2.49-2.50, 2 Ge 2.79
Ge  0.7010  0.6420  0.5000  2 Re 2.49-2.50, 2 Ge 2.79
Ge  0.2990  0.3580  0.5000  2 Re 2.49-2.50, 2 Ge 2.79
Ge  0.3580  0.7010  0.5000  2 Re 2.49-2.50, 2 Ge 2.79
Ge  0.6420  0.2990  0.5000  2 Re 2.49-2.50, 2 Ge 2.79

no.,total moment (μB/cell)
1,0.00
2,0.00
3,3.16
4,2.83
5,0.57
6,0.00
7,0.00
8,0.00
9,9.01
10,0.00
11,2.00
12,0.00